# 1
An optimized crystal structure of Cr2SbCl, computed with PBE.

Lattice parameters (Å, degrees): 3.364 3.364 7.240 90.00 90.00 90.00
Space group P4/mmm (No. 123)
Asymmetric unit:
Cr 0.000 0.000 0.243
Sb 0.500 0.500 0.000
Cl 0.500 0.500 0.500

Output
* total energy: -6.04 eV per atom
* DOS at the Fermi energy: 2.23 states/eV/cell
* excess energy over the best structure of this formula in the dataset: 6.93 kcal/mol of atoms
* size of the total moment: 8.73 μB/f.u.

# 2
An optimized crystal structure of BaTlB3, computed with PBE.

Lattice parameters (Å, degrees): 5.170 5.170 5.170 90.00 90.00 90.00
Space group Pm-3m (No. 221)
Asymmetric unit:
Ba 0.000 0.000 0.000
Tl 0.500 0.500 0.500
B 0.000 0.000 0.500

Output
* total energy: -2.26 eV per atom
* DOS at the Fermi energy: 6.93 states/eV/cell
* excess energy over the best structure of this formula in the dataset: 18.65 kcal/mol of atoms
* ΔE_f: 2606 meV per atom
* size of the total moment: 0.00 μB/f.u.

- Which of these has the lowest size of the total moment?
  BaTlB3

- Among the records above, which one has the lowest excess energy over the best structure of this formula in the dataset?
  Cr2SbCl

- The lowest DOS at the Fermi energy belongs to which entry?
  Cr2SbCl